No. 1
Here is a geometry-optimized CaBe2Au structure from Alexandria. Energies are from PBE.

Summary:
energy relative to the elements = -0.057 eV per atom
spin magnetization = 0.00 μB/f.u.
energy relative to the lowest polymorph listed for this composition = 0.2193 eV per atom

Structure (CIF):
```
data_CaBe2Au
_chemical_formula_sum 'Ca4 Be8 Au4'
_cell_length_a 4.400
_cell_length_b 4.400
_cell_length_c 16.215
_cell_angle_alpha 90.00
_cell_angle_beta 90.00
_cell_angle_gamma 90.00
_symmetry_space_group_name_H-M 'I 41/a m d'
_symmetry_Int_Tables_number 141
loop_
_symmetry_equiv_pos_as_xyz
'x,y,z'
'-x,-y,-z'
'-y+1/4,x+3/4,z+1/4'
'y+1/4,-x+3/4,-z+1/4'
'-x+1/2,-y,z+1/2'
'x+1/2,y,-z+1/2'
'y+1/4,-x+1/4,z+3/4'
'-y+1/4,x+1/4,-z+3/4'
'x,-y,-z'
'-x,y,z'
'-y+1/4,-x+1/4,-z+3/4'
'y+1/4,x+1/4,z+3/4'
'-x+1/2,y,-z+1/2'
'x+1/2,-y,z+1/2'
'y+1/4,x+3/4,-z+1/4'
'-y+1/4,-x+3/4,z+1/4'
'x+1/2,y+1/2,z+1/2'
'-x+1/2,-y+1/2,-z+1/2'
'-y+3/4,x+1/4,z+3/4'
'y+3/4,-x+1/4,-z+3/4'
'-x,-y+1/2,z'
'x,y+1/2,-z'
'y+3/4,-x+3/4,z+1/4'
'-y+3/4,x+3/4,-z+1/4'
'x+1/2,-y+1/2,-z+1/2'
'-x+1/2,y+1/2,z+1/2'
'-y+3/4,-x+3/4,-z+1/4'
'y+3/4,x+3/4,z+1/4'
'-x,y+1/2,-z'
'x,-y+1/2,z'
'y+3/4,x+1/4,-z+3/4'
'-y+3/4,-x+1/4,z+3/4'
loop_
_atom_site_label
_atom_site_type_symbol
_atom_site_fract_x
_atom_site_fract_y
_atom_site_fract_z
_atom_site_occupancy
Ca1 Ca 0.000 0.250 0.375 1
Be1 Be 0.000 0.000 0.000 1
Au1 Au 0.000 0.250 0.875 1
```

=====

No. 2
Here is a geometry-optimized CoIr2W structure from Alexandria. Energies are from PBE.

Summary:
energy relative to the elements = 0.087 eV per atom
spin magnetization = 1.46 μB/f.u.
energy relative to the lowest polymorph listed for this composition = 0.3011 eV per atom

Structure (CIF):
```
data_CoIr2W
_chemical_formula_sum 'Co3 Ir6 W3'
_cell_length_a 2.7373
_cell_length_b 2.7373
_cell_length_c 26.2896
_cell_angle_alpha 90.00
_cell_angle_beta 90.00
_cell_angle_gamma 120.00
_symmetry_space_group_name_H-M 'R 3 m'
_symmetry_Int_Tables_number 160
_symmetry_space_group_name_Hall 'R 3 -2"'
loop_
_atom_site_label
_atom_site_type_symbol
_atom_site_fract_x
_atom_site_fract_y
_atom_site_fract_z
_atom_site_occupancy
Co1 Co 0.0000 0.0000 0.0000 1
Ir1 Ir 0.0000 0.0000 0.4997 1
Ir2 Ir 0.0000 0.0000 0.7447 1
W1 W 0.0000 0.0000 0.2507 1
```

=====

No. 3
Here is a geometry-optimized Ca3Al9Pt2 structure from Alexandria. Energies are from PBE.

Summary:
energy relative to the elements = -0.549 eV per atom
spin magnetization = 0.00 μB/f.u.

Structure (CIF):
```
data_Ca3Al9Pt2
_chemical_formula_sum 'Ca6 Al18 Pt4'
_cell_length_a 4.323
_cell_length_b 10.031
_cell_length_c 12.480
_cell_angle_alpha 90.00
_cell_angle_beta 90.00
_cell_angle_gamma 90.00
_symmetry_space_group_name_H-M 'I m m m'
_symmetry_Int_Tables_number 71
_symmetry_space_group_name_Hall '-I 2 2'
loop_
_atom_site_label
_atom_site_type_symbol
_atom_site_fract_x
_atom_site_fract_y
_atom_site_fract_z
_atom_site_occupancy
Ca1 Ca 0.000 0.000 0.000 1
Ca2 Ca 0.000 0.000 0.301 1
Al1 Al 0.000 0.284 0.129 1
Al2 Al 0.000 0.364 0.343 1
Al3 Al 0.000 0.500 0.000 1
Pt1 Pt 0.000 0.195 0.500 1
```

=====

No. 4
Here is a geometry-optimized ScH2Rh structure from Alexandria. Energies are from PBE.

Summary:
spin magnetization = 0.00 μB/f.u.
energy relative to the lowest polymorph listed for this composition = 0.0000 eV per atom

Structure (CIF):
```
data_ScH2Rh
_chemical_formula_sum 'Sc4 H8 Rh4'
_cell_length_a 5.895
_cell_length_b 5.983
_cell_length_c 4.704
_cell_angle_alpha 90.00
_cell_angle_beta 90.00
_cell_angle_gamma 90.00
_symmetry_space_group_name_H-M 'P n a 21'
_symmetry_Int_Tables_number 33
loop_
_symmetry_equiv_pos_as_xyz
'x,y,z'
'-x,-y,z+1/2'
'-x+1/2,y+1/2,z+1/2'
'x+1/2,-y+1/2,z'
loop_
_atom_site_label
_atom_site_type_symbol
_atom_site_fract_x
_atom_site_fract_y
_atom_site_fract_z
_atom_site_occupancy
Sc1 Sc 0.169 0.128 0.000 1
H1 H 0.002 0.410 0.842 1
H2 H 0.156 0.096 0.494 1
Rh1 Rh 0.044 0.683 0.988 1
```